Record 1
Here is a relaxed structure of SrZrGaSb2 from Alexandria via LeMat-Bulk. Energies are from PBE-GGA.

Values from the calculation:
formation energy from raw total energies	1.22	eV per atom
energy	-0.227	Ry per atom
total moment	0.179	μB per atom

```
5
Lattice="5.916 0.000 0.000 0.000 5.916 0.000 0.000 0.000 5.445" Properties=species:S:1:pos:R:3 pbc="T T T"
Sr 0.000 0.000 0.000
Zr 0.000 0.000 2.722
Ga 2.958 2.958 2.722
Sb 0.000 2.958 0.000
Sb 2.958 0.000 0.000
```

---

Record 2
Here is a relaxed structure of Na2YBSb from Alexandria via LeMat-Bulk. Energies are from PBE-GGA.

Values from the calculation:
formation energy from raw total energies	1.14	eV per atom
energy	-0.209	Ry per atom
total moment	0.000	μB per atom

```
5
Lattice="6.060 0.000 0.000 0.000 6.060 0.000 0.000 0.000 4.477" Properties=species:S:1:pos:R:3 pbc="T T T"
Na 0.000 3.030 0.000
Na 3.030 0.000 0.000
Y 0.000 0.000 0.000
B 0.000 0.000 2.239
Sb 3.030 3.030 2.239
```

---

Record 3
Here is a relaxed structure of NbZnTc2H from Alexandria via LeMat-Bulk. Energies are from PBE-GGA.

Values from the calculation:
distance to the lowest polymorph of the same formula	39	meV/atom
energy	-0.517	Ry per atom
total moment	0.000	μB per atom

```
5
Lattice="4.134 0.000 0.000 0.000 4.134 0.000 0.000 0.000 3.679" Properties=species:S:1:pos:R:3 pbc="T T T"
Nb 0.000 0.000 0.000
Zn 2.067 2.067 0.000
Tc 0.000 2.067 1.839
Tc 2.067 0.000 1.839
H 2.067 2.067 1.839
```

---

Copy entry 1 word for word.
Here is a relaxed structure of SrZrGaSb2 from Alexandria via LeMat-Bulk. Energies are from PBE-GGA.

Values from the calculation:
formation energy from raw total energies	1.22	eV per atom
energy	-0.227	Ry per atom
total moment	0.179	μB per atom

```
5
Lattice="5.916 0.000 0.000 0.000 5.916 0.000 0.000 0.000 5.445" Properties=species:S:1:pos:R:3 pbc="T T T"
Sr 0.000 0.000 0.000
Zr 0.000 0.000 2.722
Ga 2.958 2.958 2.722
Sb 0.000 2.958 0.000
Sb 2.958 0.000 0.000
```

---

Which value of total moment does entry 1 give?
0.179 μB per atom

---

The lowest energy belongs to which entry?
NbZnTc2H

---

Number 3 is which compound?
NbZnTc2H